# 1
## Sc2CuAg3 (GGA-PBE)

Data for a relaxed structure of Sc2CuAg3.

Calculated values
As for the formation energy: -0.2787 eV/atom.

Structure (POSCAR):
```
Sc2CuAg3
1.0
3.491 0.000 0.000
0.000 3.491 0.000
0.000 0.000 8.890
Sc Cu Ag
2 1 3
Direct
0.000 0.000 0.000
0.500 0.500 0.484
0.500 0.500 0.156
0.000 0.000 0.314
0.000 0.000 0.656
0.500 0.500 0.829
```

---

# 2
## SmIrAu (GGA-PBE)

Data for a relaxed structure of SmIrAu.

Calculated values
As for the formation energy: -0.2846 eV/atom.

Structure (POSCAR):
```
SmIrAu
1.0
0.000 3.290 3.290
3.290 0.000 3.290
3.290 3.290 0.000
Sm Ir Au
1 1 1
Direct
0.000 0.000 0.000
0.250 0.250 0.250
0.500 0.500 0.500
```

---

# 3
## PrAgTe2PbSe (GGA-PBE)

Data for a relaxed structure of PrAgTe2PbSe.

Calculated values
The electronic total energy is -4.326 eV/atom.

Structure (POSCAR):
```
PrAgTe2PbSe
1.0
2.202 -7.373 0.000
2.202 7.373 0.000
0.000 0.000 11.017
Pr Ag Te Pb Se
2 2 4 2 2
Direct
0.000 0.000 0.000
0.000 0.000 0.500
0.475 0.525 0.750
0.525 0.475 0.250
0.348 0.652 0.561
0.348 0.652 0.939
0.652 0.348 0.061
0.652 0.348 0.439
0.255 0.745 0.250
0.745 0.255 0.750
0.085 0.915 0.750
0.915 0.085 0.250
```

---

Magnetization values, unit Bohr magnetons per cell, following the record order: 0.0; 0.0; 0.0.